Compound: Li2Ho2TeO6
Source: the Alexandria database
Functional: PBE
Structure: optimized geometry

a = 5.805 Å, b = 10.288 Å, c = 5.269 Å
α = 90.00°, β = 105.44°, γ = 90.00°
Space group C2/m (No. 12)
One atom of each set of equivalent atoms:
1 Li 0.000 0.144 0.000
2 Ho 0.000 0.336 0.500
3 Te 0.000 0.000 0.500
4 O 0.207 0.168 0.721
5 O 0.244 0.500 0.728

=====

Compound: Si2TcSe
Source: the Alexandria database
Functional: PBE
Structure: optimized geometry

a = 3.236 Å, b = 4.648 Å, c = 8.065 Å
α = 90.00°, β = 90.00°, γ = 90.00°
Space group Immm (No. 71)
One atom of each set of equivalent atoms:
1 Si 0.000 0.000 0.249
2 Tc 0.000 0.500 0.000
3 Se 0.000 0.500 0.500

=====

no.,E_form (uncorrected) (eV per atom),final energy (eV/atom)
1,-2.3033,-6.47
2,0.3246,-5.85